1.
A relaxed structure of Ni4Mo2Pt. Source: Alexandria, functional PBE-GGA.

```
Ni4Mo2Pt
1.0
-1.826 -2.525 -5.388
-4.053 -3.582 3.079
1.133 4.660 0.880
Ni Mo Pt
4 2 1
Cartesian
-1.378 1.810 -1.905
-3.369 -3.257 0.476
-1.877 -1.829 -0.722
-2.870 0.381 -0.707
-1.778 -0.441 -2.977
-2.968 -1.006 1.548
0.000 0.000 0.000
```

Computed properties:
ΔH_f (0 K)   0.187 eV per atom
Spin magnetization   0.00 μB per cell



2.
A relaxed structure of Ni5Mo2Pt2. Source: Alexandria, functional PBE-GGA.

```
Ni5Mo2Pt2
1.0
-8.399 -0.981 -3.800
-1.525 -2.122 3.918
3.473 6.376 1.974
Ni Mo Pt
10 4 4
Cartesian
-7.673 -1.884 0.443
0.349 3.944 3.890
-6.881 -0.820 -1.504
1.083 5.002 1.918
-4.355 1.981 2.422
-2.212 1.132 -0.034
-2.829 3.129 0.807
-3.738 -0.016 1.580
-0.059 1.450 3.798
-6.503 1.669 -1.421
-5.060 3.169 -0.037
-1.508 -0.058 2.428
-2.303 2.519 3.514
-4.265 0.592 -1.123
-0.060 -0.083 0.153
-5.022 -1.635 0.213
-6.206 0.730 1.019
-0.358 2.387 1.362
```

Computed properties:
ΔH_f (0 K)   -0.008 eV per atom
Energy relative to the lowest polymorph listed for this composition   0.1063 eV per atom
Spin magnetization   0.02 μB per cell



3.
A relaxed structure of Ni5Mo2Pt4. Source: Alexandria, functional PBE-GGA.

```
Ni5Mo2Pt4
1.0
3.802 0.000 0.000
0.000 7.150 0.666
-1.901 -0.424 5.693
Ni Mo Pt
5 2 4
Cartesian
0.000 6.992 2.594
1.901 -0.266 3.765
0.000 3.443 2.285
1.901 0.000 0.000
1.901 3.283 4.073
0.000 5.011 4.301
1.901 1.715 2.057
1.901 5.220 2.414
1.901 4.871 6.105
0.000 1.507 3.944
0.000 1.855 0.253
```

Computed properties:
ΔH_f (0 K)   -0.046 eV per atom
Spin magnetization   0.00 μB per cell



4.
A relaxed structure of Ni2MoPt. Source: Alexandria, functional PBE-GGA.

```
Ni2MoPt
1.0
-2.267 -3.191 -7.805
0.283 -4.070 -7.720
-1.680 -5.512 -6.560
Mo Ni Pt
1 2 1
Cartesian
-2.748 -9.579 -16.564
-0.005 -0.018 -0.031
-1.827 -6.368 -11.011
-0.916 -3.193 -5.521
```

Computed properties:
ΔH_f (0 K)   -0.013 eV per atom
Spin magnetization   0.63 μB per cell